Record 1
DFT (PBE) results for crystalline MoWAu at its relaxed geometry.

The value obtained for the formation energy is 0.330 eV/atom. For the electronic total energy, the calculation gives -52.1 eV per cell. The energy relative to the lowest polymorph listed for this composition is 0.060 eV/atom.

The structure belongs to space group I4mm (No. 107); the cell edges are 2.710, 2.710 and 13.486 Å and the angles 90.00°, 90.00° and 90.00°. Symmetry generates all atoms from Mo at (0.000, 0.000, 0.000), W at (0.000, 0.000, 0.334) and Au at (0.000, 0.000, 0.667).



Record 2
DFT (PBE) results for crystalline MgWBr2 at its relaxed geometry.

The calculation puts the uncorrected formation energy at 0.815 eV/atom. For the electronic total energy, the calculation gives -58.5 eV per cell. The energy relative to the lowest polymorph listed for this composition is 0.858 eV/atom.

The structure belongs to space group Fm-3m (No. 225); the cell edges are 6.698, 6.698 and 6.698 Å and the angles 90.00°, 90.00° and 90.00°. Symmetry generates all atoms from Mg at (0.000, 0.000, 0.000), W at (0.000, 0.000, 0.500) and Br at (0.250, 0.250, 0.250).



Record 3
DFT (PBE) results for crystalline LaMgSb at its relaxed geometry.

The calculation puts the uncorrected formation energy at -0.476 eV/atom. For the electronic total energy, the calculation gives -24.1 eV per cell. The energy relative to the lowest polymorph listed for this composition is 0.236 eV/atom.

The structure belongs to space group I4mm (No. 107); the cell edges are 3.942, 3.942 and 11.137 Å and the angles 90.00°, 90.00° and 90.00°. Symmetry generates all atoms from La at (0.000, 0.000, 0.000), Mg at (0.000, 0.000, 0.301) and Sb at (0.000, 0.000, 0.684).



Record 4
DFT (PBE) results for crystalline Cd2CoTe at its relaxed geometry.

The calculation puts the uncorrected formation energy at 0.370 eV/atom. For the electronic total energy, the calculation gives -31.8 eV per cell.

The structure belongs to space group R-3m (No. 166, hexagonal axes); the cell edges are 3.1037, 3.1037 and 31.5043 Å and the angles 90.00°, 90.00° and 120.00°. Symmetry generates all atoms from Cd at (0.0000, 0.0000, 0.2316), Co at (0.0000, 0.0000, 0.5000) and Te at (0.0000, 0.0000, 0.0000).



Record 5
DFT (PBE) results for crystalline La2Ce2Ge2N at its relaxed geometry.

The calculation puts the uncorrected formation energy at -0.943 eV/atom. For the electronic total energy, the calculation gives -91.8 eV per cell.

The structure belongs to space group I4/mmm (No. 139); the cell edges are 4.725, 4.725 and 16.053 Å and the angles 90.00°, 90.00° and 90.00°. Symmetry generates all atoms from La at (0.000, 0.000, 0.172), Ce at (0.000, 0.500, 0.000), Ge at (0.000, 0.000, 0.368) and N at (0.000, 0.000, 0.000).



Record 6
DFT (PBE) results for crystalline InSiNi at its relaxed geometry.

The calculation puts the uncorrected formation energy at -0.008 eV/atom. For the electronic total energy, the calculation gives -14.0 eV per cell.

The structure belongs to space group P-6m2 (No. 187); the cell edges are 3.9359, 3.9359 and 3.7721 Å and the angles 90.00°, 90.00° and 120.00°. Symmetry generates all atoms from In at (0.0000, 0.0000, 0.0000), Si at (0.6667, 0.3333, 0.5000) and Ni at (0.3333, 0.6667, 0.5000).